Below is a relaxed Na2Pm2MnO6 crystal, with properties calculated at the PBE with a Hubbard U level.

abc: 5.853 5.853 5.860
angles: 96.46 96.46 119.75
Positions (direct):
1 Na 0.135 0.865 0.000
2 Na 0.865 0.135 0.000
3 Pm 0.336 0.664 0.500
4 Pm 0.664 0.336 0.500
5 Mn 0.000 0.000 0.500
6 O 0.036 0.331 0.687
7 O 0.233 0.233 0.305
8 O 0.331 0.036 0.687
9 O 0.669 0.964 0.313
10 O 0.767 0.767 0.695
11 O 0.964 0.669 0.313

SG   C2/m, No. 12
Size of the total moment   2.991 μB/f.u.
Volume   169.9 Å³/cell
Total energy   -74.24 eV per cell